Entry 1:
# GdHoFe2

A relaxed GdHoFe2 crystal (PBE, OQMD).

Cell: 3.820 5.505 7.761 Å, 90.00 90.00 90.00°
Space group Pmc2_1 (No. 26)
Asymmetric unit:
Gd1 0.000 0.145 0.000
Ho1 0.500 0.355 0.646
Fe1 0.000 0.331 0.350
Fe2 0.500 0.180 0.299

Values from the calculation:
- Total magnetic moment: 0.0027 μB per atom
- ρ: 8.8 g cm⁻³
- Calculated formation energy: -0.008 eV per atom
- VASP energy: -6.470 eV per atom


Entry 2:
# YScInFe

A relaxed YScInFe crystal (PBE, OQMD).

Cell: 6.852 6.852 6.852 Å, 90.00 90.00 90.00°
Space group F-43m (No. 216)
Asymmetric unit:
Y1 0.000 0.000 0.000
Sc1 0.250 0.250 0.250
In1 0.000 0.000 0.500
Fe1 0.250 0.250 0.750

Values from the calculation:
- Total magnetic moment: 0.2507 μB per atom
- Offset from the most stable computed form: 0 meV/atom
- ρ: 6.3 g cm⁻³
- VASP energy: -5.959 eV per atom


Entry 3:
# Sc2Si2Pt

A relaxed Sc2Si2Pt crystal (PBE, OQMD).

Cell: 6.318 6.318 4.231 Å, 90.00 90.00 90.00°
Space group P4/mbm (No. 127)
Asymmetric unit:
Sc1 0.171 0.329 0.000
Si1 0.135 0.635 0.500
Pt1 0.000 0.000 0.500

Values from the calculation:
- Total magnetic moment: 0.0003 μB per atom
- ρ: 6.7 g cm⁻³
- VASP energy: -6.977 eV per atom


Entry 4:
# HfSbO3

A relaxed HfSbO3 crystal (PBE, OQMD).

Cell: 4.093 4.093 4.186 Å, 90.00 90.00 90.00°
Space group P4mm (No. 99)
Asymmetric unit:
Hf1 0.000 0.000 0.000
Sb1 0.500 0.500 0.408
O1 0.000 0.000 0.536
O2 0.000 0.500 0.107

Values from the calculation:
- Total magnetic moment: 0.0001 μB per atom
- ρ: 8.2 g cm⁻³
- VASP energy: -7.911 eV per atom


Entry 5:
# Er3Mg3TlCd2

A relaxed Er3Mg3TlCd2 crystal (PBE, OQMD).

Cell: 7.5346 7.5346 4.5543 Å, 90.00 90.00 120.00°
Space group P-62m (No. 189)
Asymmetric unit:
Er1 0.0000 0.5779 0.0000
Mg1 0.0000 0.2464 0.5000
Tl1 0.0000 0.0000 0.0000
Cd1 0.3333 0.6667 0.5000

Values from the calculation:
- Total magnetic moment: 0.0014 μB per atom
- ρ: 7.4 g cm⁻³
- VASP energy: -2.735 eV per atom


Entry 6:
# Er2Tm2Co

A relaxed Er2Tm2Co crystal (PBE, OQMD).

Cell: 11.431 4.646 10.655 Å, 90.00 114.68 90.00°
Space group C2/m (No. 12)
Asymmetric unit:
Er1 0.013 0.000 0.162
Er2 0.120 0.500 0.692
Tm1 0.146 0.000 0.479
Tm2 0.179 0.500 0.076
Co1 0.117 0.500 0.314

Values from the calculation:
- Total magnetic moment: 0.0003 μB per atom
- ρ: 9.4 g cm⁻³
- Calculated formation energy: -0.049 eV per atom
- VASP energy: -5.086 eV per atom